(1)
Computed, not measured: UCuSi2Pt2 after structural relaxation at the GGA-PBE level of DFT.

Output
Density, kg/m³: 12344
Magnetic moment, Bohr magnetons per cell: 2.40
Formation energy from raw total energies, eV/atom: -0.55

Lattice parameters (Å, degrees): 4.1712 4.1712 6.6772 90.00 90.00 120.00
Last column: nearest neighbours and their distance in Å.
Fractional coordinates of all 6 atoms:
Si (0.6667, 0.3333, 0.2760)  4 Pt 2.43-2.66
U (0.0000, 0.0000, 0.0000)  6 Si 3.03, 6 Pt 3.25, 2 Cu 3.34
Pt (0.6667, 0.3333, 0.6741)  4 Si 2.43-2.66, 3 Cu 2.67
Pt (0.3333, 0.6667, 0.3259)  4 Si 2.43-2.66, 3 Cu 2.67
Si (0.3333, 0.6667, 0.7240)  4 Pt 2.43-2.66
Cu (0.0000, 0.0000, 0.5000)  6 Pt 2.67, 6 Si 2.83

(2)
Computed, not measured: ScNbReRh after structural relaxation at the GGA-PBE level of DFT.

Output
Density, kg/m³: 10685
Magnetic moment, Bohr magnetons per cell: 0.00
Energy, Ry per atom: -0.698

Lattice parameters (Å, degrees): 4.5442 4.5442 4.5442 60.00 60.00 60.00
Last column: nearest neighbours and their distance in Å.
Fractional coordinates of all 4 atoms:
Nb (0.5000, 0.5000, 0.5000)  4 Re 2.78, 4 Rh 2.78
Re (0.7500, 0.7500, 0.7500)  4 Sc 2.78, 4 Nb 2.78
Rh (0.2500, 0.2500, 0.2500)  4 Nb 2.78, 4 Sc 2.78
Sc (0.0000, 0.0000, 0.0000)  4 Rh 2.78, 4 Re 2.78

Among the records above, which one has the highest magnetic moment?
UCuSi2Pt2